Crystalline Tb2YZn2Si4Au2 at its relaxed geometry, computed with PBE-GGA.

Space group: No. 71
Distance to the lowest polymorph of the same formula in meV per atom: 52
Crystal system: orthorhombic

Cell lengths 12.6424, 12.6424, 12.6424 Å; angles 161.21, 161.02, 26.83 degrees
Closest atoms and distances in Å follow each position.
Fractional coordinates of all 11 atoms:
Au: 0.7491 0.7491 0.0000  4 Si 2.56-2.57
Si: 0.1884 0.6884 0.5000  1 Zn 2.34, 4 Au 2.56-2.57
Au: 0.2509 0.2509 0.0000  4 Si 2.56-2.57
Si: 0.5475 0.5475 0.0000  1 Si 2.33, 2 Zn 2.37
Y: 0.0000 0.0000 0.0000  4 Zn 3.09, 8 Si 3.16
Zn: 0.9065 0.4065 0.5000  3 Si 2.34-2.37
Tb: 0.3561 0.8561 0.5000  6 Si 3.13-3.14, 4 Zn 3.18, 4 Au 3.31-3.36
Si: 0.4525 0.4525 0.0000  1 Si 2.33, 2 Zn 2.37
Zn: 0.0935 0.5935 0.5000  3 Si 2.34-2.37
Si: 0.8116 0.3116 0.5000  1 Zn 2.34, 4 Au 2.56-2.57
Tb: 0.6439 0.1439 0.5000  6 Si 3.13-3.14, 4 Zn 3.18, 4 Au 3.31-3.36